! NaCaHg, optimized geometry, DFT PBE; values from VASP
&SYSTEM
  ibrav = 0, nat = 6, ntyp = 3
/
ATOMIC_SPECIES
Na 22.99 Na.upf
Ca 40.08 Ca.upf
Hg 200.59 Hg.upf
CELL_PARAMETERS angstrom
3.767 0.000 0.000
1.881 6.566 0.000
0.013 2.015 7.320
ATOMIC_POSITIONS angstrom
Na 0.941 0.999 1.044
Na 4.720 7.582 6.276
Ca 2.832 4.005 1.913
Ca 2.829 4.576 5.408
Hg 0.951 2.305 3.992
Hg 4.710 6.276 3.329
! * E_form: -0.223 eV/atom
! * DOS at the Fermi energy: 3.549 states/eV per cell
! * magnetic moment: 0.00 μB/f.u.
! * crystal system: triclinic
! * space group: No. 2

! PrMg2GeIr2, optimized geometry, DFT PBE; values from VASP
&SYSTEM
  ibrav = 0, nat = 6, ntyp = 4
/
ATOMIC_SPECIES
Pr 140.91 Pr.upf
Mg 24.30 Mg.upf
Ge 72.64 Ge.upf
Ir 192.22 Ir.upf
CELL_PARAMETERS angstrom
4.690 0.000 0.000
0.000 4.690 0.000
0.000 0.000 6.017
ATOMIC_POSITIONS angstrom
Pr 0.000 0.000 0.000
Mg 2.345 2.345 1.515
Mg 2.345 2.345 4.502
Ge 0.000 0.000 3.009
Ir 0.000 2.345 3.009
Ir 2.345 0.000 3.009
! * E_form: -0.179 eV/atom
! * DOS at the Fermi energy: 5.894 states/eV per cell
! * magnetic moment: 0.78 μB/f.u.
! * crystal system: tetragonal
! * space group: No. 123

! NpUCuPd, optimized geometry, DFT PBE; values from VASP
&SYSTEM
  ibrav = 0, nat = 4, ntyp = 4
/
ATOMIC_SPECIES
Np 237.00 Np.upf
U 238.03 U.upf
Cu 63.55 Cu.upf
Pd 106.42 Pd.upf
CELL_PARAMETERS angstrom
0.000 3.310 3.310
3.310 0.000 3.310
3.310 3.310 0.000
ATOMIC_POSITIONS angstrom
Np 0.000 0.000 0.000
U 4.965 4.965 4.965
Cu 1.655 1.655 1.655
Pd 3.310 3.310 3.310
! * E_form: -0.103 eV/atom
! * DOS at the Fermi energy: 6.146 states/eV per cell
! * magnetic moment: 6.04 μB/f.u.
! * crystal system: cubic
! * space group: No. 216

! NaPaAu4, optimized geometry, DFT PBE; values from VASP
&SYSTEM
  ibrav = 0, nat = 6, ntyp = 3
/
ATOMIC_SPECIES
Na 22.99 Na.upf
Pa 231.04 Pa.upf
Au 196.97 Au.upf
CELL_PARAMETERS angstrom
0.000 3.973 3.973
3.973 0.000 3.973
3.973 3.973 0.000
ATOMIC_POSITIONS angstrom
Na 0.000 0.000 0.000
Pa 5.959 5.959 5.959
Au 2.975 2.975 2.975
Au 4.971 4.971 2.975
Au 4.971 2.975 4.971
Au 2.975 4.971 4.971
! * E_form: -0.163 eV/atom
! * DOS at the Fermi energy: 7.756 states/eV per cell
! * magnetic moment: 0.92 μB/f.u.
! * crystal system: cubic
! * space group: No. 216